# RbNiPO2

Crystalline RbNiPO2 at its relaxed geometry (GGA+U, Alexandria via LeMat-Bulk).

* SG: P4/mmm
* polymorph energy (0 for the lowest one): 0.000 eV per atom
* total energy: -17.93 eV/cell

abc: 4.239 4.239 4.419
angles: 90.00 90.00 90.00
Fractional coordinates of all 5 atoms:
Rb 0.000 0.000 0.000
Ni 0.500 0.500 0.500
P 0.500 0.500 0.000
O 0.000 0.500 0.500
O 0.500 0.000 0.500